Entry 1:
A relaxed structure of Y3SnBr, computed with PBE-GGA.

extended XYZ file:
```
5
Lattice="5.3010 0.0000 0.0000 0.0000 5.3010 0.0000 0.0000 0.0000 5.3010" Properties=species:S:1:pos:R:3 pbc="T T T"
Y 0.0000 0.0000 2.6505
Y 0.0000 2.6505 0.0000
Y 2.6505 0.0000 0.0000
Sn 2.6505 2.6505 2.6505
Br 0.0000 0.0000 0.0000
```

Summary:
Uncorrected energy ... -5.28 eV/atom

---

Entry 2:
A relaxed structure of Y2SnBr, computed with PBE-GGA.

extended XYZ file:
```
8
Lattice="-3.2164 3.2164 7.2745 3.2164 -3.2164 7.2745 3.2164 3.2164 -7.2745" Properties=species:S:1:pos:R:3 pbc="T T T"
Y 4.8246 1.5834 -1.8186
Y 1.5834 1.6082 1.8186
Y -1.6082 1.6330 5.4559
Y 1.6330 1.6082 9.0931
Sn 3.2164 0.0000 3.6373
Sn 0.0000 0.0000 7.2745
Br 0.0000 0.0000 0.0000
Br 0.0000 3.2164 3.6373
```

Summary:
Uncorrected energy ... -5.08 eV/atom

---

Computed formation energy from raw total energies (eV/atom) in order:
-0.269 -0.429